1.
Density functional theory data (GGA-PBE) for an optimized crystal structure of HgPPtO2.

Cell: 3.892 3.892 5.254 Å, 90.00 90.00 90.00°
Each line ends with the local moment (μB).
Fractional positions:
O (0.000, 0.500, 0.000)  0.34
O (0.500, 0.000, 0.000)  0.34
P (0.000, 0.000, 0.500)  0.04
Hg (0.500, 0.500, 0.500)  -0.01
Pt (0.000, 0.000, 0.000)  0.53

Output
- formation energy without anion corrections (kJ/mol of formula units) = 68
- energy above the most stable polymorph in this dataset (meV/atom) = 0

***

2.
Density functional theory data (GGA-PBE) for an optimized crystal structure of HgPPtO6.

Cell: 4.994 4.994 4.980 Å, 90.00 90.00 60.00°
Fractional positions:
Hg (0.000, 0.000, 0.000)
P (0.333, 0.333, 0.500)
Pt (0.667, 0.667, 0.500)
O (0.040, 0.357, 0.299)
O (0.357, 0.040, 0.701)
O (0.603, 0.357, 0.701)
O (0.040, 0.603, 0.701)
O (0.357, 0.603, 0.299)
O (0.603, 0.040, 0.299)

Output
- formation energy without anion corrections (kJ/mol of formula units) = -802

***

3.
Density functional theory data (GGA-PBE) for an optimized crystal structure of HgPPtO2.

Cell: 3.848 3.848 7.159 Å, 90.00 90.00 90.00°
Each line ends with the local moment (μB).
Fractional positions:
O (0.000, 0.500, 0.000)  0.25
O (0.500, 0.000, 0.000)  0.25
P (0.000, 0.000, 0.500)  0.01
Hg (0.000, 0.000, 0.000)  0.02
Pt (0.500, 0.500, 0.500)  0.01

Output
- formation energy without anion corrections (kJ/mol of formula units) = 489
- energy above the most stable polymorph in this dataset (meV/atom) = 874

***

4.
Density functional theory data (GGA-PBE) for an optimized crystal structure of RbHgPO4.

Cell: 6.083 6.083 6.083 Å, 60.00 60.00 60.00°
Fractional positions:
Rb (0.750, 0.750, 0.750)
Hg (0.500, 0.500, 0.500)
P (0.250, 0.250, 0.250)
O (0.354, 0.354, 0.939)
O (0.354, 0.354, 0.354)
O (0.354, 0.939, 0.354)
O (0.939, 0.354, 0.354)

Output
- formation energy without anion corrections (kJ/mol of formula units) = -1040

***

5.
Density functional theory data (GGA-PBE) for an optimized crystal structure of RbHgP2O8.

Cell: 5.162 5.162 8.749 Å, 90.00 90.00 120.00°
Each line ends with the local moment (μB).
Fractional positions:
Rb (0.000, 0.000, 0.000)  0.00
Hg (0.000, 0.000, 0.500)  0.18
P (0.667, 0.333, 0.282)  -0.03
P (0.333, 0.667, 0.718)  -0.03
O (0.333, 0.667, 0.894)  0.38
O (0.371, 0.315, 0.335)  0.29
O (0.685, 0.056, 0.335)  0.29
O (0.667, 0.333, 0.106)  0.38
O (0.315, 0.944, 0.665)  0.29
O (0.629, 0.685, 0.665)  0.29
O (0.056, 0.371, 0.665)  0.29
O (0.944, 0.629, 0.335)  0.29

Output
- formation energy without anion corrections (kJ/mol of formula units) = -1637

***

6.
Density functional theory data (GGA-PBE) for an optimized crystal structure of RbHgP2O.

Cell: 7.307 7.307 4.988 Å, 90.00 90.00 90.00°
Each line ends with the local moment (μB).
Fractional positions:
O (0.000, 0.000, 0.500)  0.90
P (0.000, 0.500, 0.000)  1.18
P (0.500, 0.000, 0.000)  1.18
Hg (0.500, 0.500, 0.500)  0.05
Rb (0.000, 0.000, 0.000)  0.07

Output
- formation energy without anion corrections (kJ/mol of formula units) = 643
- energy above the most stable polymorph in this dataset (meV/atom) = 689

***

7.
Density functional theory data (GGA-PBE) for an optimized crystal structure of RbHgP2O.

Cell: 5.166 5.166 4.604 Å, 90.00 90.00 90.00°
Each line ends with the local moment (μB).
Fractional positions:
O (0.000, 0.000, 0.500)  0.29
P (0.000, 0.500, 0.000)  0.39
P (0.500, 0.000, 0.000)  0.39
Hg (0.000, 0.000, 0.000)  0.00
Rb (0.500, 0.500, 0.500)  0.02

Output
- formation energy without anion corrections (kJ/mol of formula units) = 311
- energy above the most stable polymorph in this dataset (meV/atom) = 0

***

8.
Density functional theory data (GGA-PBE) for an optimized crystal structure of RbHg2P2O7.

Cell: 5.716 5.716 8.631 Å, 70.66 70.66 60.00°
Fractional positions:
Rb (0.500, 0.500, 0.500)
Hg (0.710, 0.710, 0.869)
Hg (0.290, 0.290, 0.131)
P (0.933, 0.933, 0.201)
P (0.067, 0.067, 0.799)
O (0.163, 0.933, 0.255)
O (0.648, 0.163, 0.255)
O (0.933, 0.648, 0.255)
O (0.352, 0.067, 0.745)
O (0.837, 0.352, 0.745)
O (0.000, 0.000, 0.000)
O (0.067, 0.837, 0.745)

Output
- formation energy without anion corrections (kJ/mol of formula units) = -1838

***

9.
Density functional theory data (GGA-PBE) for an optimized crystal structure of ReHgP2O8.

Cell: 4.923 4.923 8.947 Å, 74.03 74.03 60.00°
Each line ends with the local moment (μB).
Fractional positions:
Re (0.000, 0.000, 0.000)  1.40
Hg (0.500, 0.500, 0.500)  -0.16
P (0.265, 0.265, 0.206)  0.02
P (0.735, 0.735, 0.794)  0.02
O (0.206, 0.206, 0.383)  -0.04
O (0.605, 0.238, 0.135)  0.03
O (0.794, 0.794, 0.617)  -0.04
O (0.021, 0.605, 0.135)  0.03
O (0.979, 0.395, 0.865)  0.03
O (0.238, 0.021, 0.135)  0.03
O (0.762, 0.979, 0.865)  0.03
O (0.395, 0.762, 0.865)  0.03

Output
- formation energy without anion corrections (kJ/mol of formula units) = -1842

***

10.
Density functional theory data (GGA-PBE) for an optimized crystal structure of ReHgPO2.

Cell: 3.932 3.932 5.880 Å, 90.00 90.00 90.00°
Each line ends with the local moment (μB).
Fractional positions:
Re (0.500, 0.500, 0.500)  3.13
Hg (0.000, 0.000, 0.000)  -0.06
O (0.000, 0.500, 0.000)  -0.12
O (0.500, 0.000, 0.000)  -0.12
P (0.000, 0.000, 0.500)  -0.23

Output
- formation energy without anion corrections (kJ/mol of formula units) = 666
- energy above the most stable polymorph in this dataset (meV/atom) = 2074

***

11.
Density functional theory data (GGA-PBE) for an optimized crystal structure of ReHgP2O.

Cell: 4.946 4.946 3.988 Å, 90.00 90.00 90.00°
Each line ends with the local moment (μB).
Fractional positions:
Re (0.500, 0.500, 0.500)  3.11
Hg (0.000, 0.000, 0.000)  -0.01
O (0.000, 0.000, 0.500)  -0.02
P (0.000, 0.500, 0.000)  -0.20
P (0.500, 0.000, 0.000)  -0.20

Output
- formation energy without anion corrections (kJ/mol of formula units) = 830
- energy above the most stable polymorph in this dataset (meV/atom) = 1786

***

12.
Density functional theory data (GGA-PBE) for an optimized crystal structure of ReHgPO2.

Cell: 3.819 3.819 5.180 Å, 90.00 90.00 90.00°
Fractional positions:
Re (0.000, 0.000, 0.000)
Hg (0.500, 0.500, 0.500)
O (0.000, 0.500, 0.000)
O (0.500, 0.000, 0.000)
P (0.000, 0.000, 0.500)

Output
- formation energy without anion corrections (kJ/mol of formula units) = -335
- energy above the most stable polymorph in this dataset (meV/atom) = 0

***

Number 1: calculated volume 15.92 A^3/atom, M_tot 1.4 μB/f.u.. Number 2: calculated volume 11.95 A^3/atom, M_tot 0.0 μB/f.u.. Number 3: calculated volume 21.21 A^3/atom, M_tot 0.6 μB/f.u.. Number 4: calculated volume 22.74 A^3/atom, M_tot 0.1 μB/f.u.. Number 5: calculated volume 16.83 A^3/atom, M_tot 3.1 μB/f.u.. Number 6: calculated volume 53.27 A^3/atom, M_tot 7.0 μB/f.u.. Number 7: calculated volume 24.58 A^3/atom, M_tot 2.1 μB/f.u.. Number 8: calculated volume 18.81 A^3/atom, M_tot 0.0 μB/f.u.. Number 9: calculated volume 14.84 A^3/atom, M_tot 1.5 μB/f.u.. Number 10: calculated volume 18.18 A^3/atom, M_tot 3.0 μB/f.u.. Number 11: calculated volume 19.52 A^3/atom, M_tot 2.9 μB/f.u.. Number 12: calculated volume 15.11 A^3/atom, M_tot 0.0 μB/f.u..